# 1
Entry from Alexandria via LeMat-Bulk: a relaxed K3Y crystal (PBEsol).

abc: 3.9630 3.9630 44.5237
angles: 90.00 90.00 120.00
Space group R-3m (No. 166, hexagonal axes)
Unique sites:
K 0.0000 0.0000 0.0000
K 0.0000 0.0000 0.2426
Y 0.0000 0.0000 0.5000

Calculated values
Size of the total moment   0.73 μB per formula unit
Calculated total energy   -8.81 eV per formula unit
Energy of formation   0.353 eV/atom

=====

# 2
Entry from Alexandria via LeMat-Bulk: a relaxed TlNiAg2 crystal (PBEsol).

abc: 6.406 6.406 6.406
angles: 90.00 90.00 90.00
Space group F-43m (No. 216)
Unique sites:
Tl 0.000 0.000 0.000
Ni 0.250 0.250 0.750
Ag 0.000 0.000 0.500
Ag 0.250 0.250 0.250

Calculated values
ΔE to the lowest computed polymorph   6 meV per atom
Size of the total moment   0.00 μB per formula unit
Calculated total energy   -14.56 eV per formula unit
Energy of formation   0.211 eV/atom

=====

# 3
Entry from Alexandria via LeMat-Bulk: a relaxed BaAl2Si2 crystal (PBEsol).

abc: 4.326 10.708 10.122
angles: 90.00 90.00 90.00
Space group Cmcm (No. 63)
Unique sites:
Ba 0.000 0.087 0.250
Al 0.000 0.379 0.035
Si 0.000 0.200 0.632

Calculated values
Size of the total moment   0.00 μB per formula unit
Calculated total energy   -23.10 eV per formula unit
Raw formation energy   -1.3 eV/f.u.

=====

# 4
Entry from Alexandria via LeMat-Bulk: a relaxed InBrO2 crystal (PBEsol).

abc: 5.970 5.970 5.970
angles: 90.00 90.00 90.00
Space group Fm-3m (No. 225)
Unique sites:
In 0.000 0.000 0.000
Br 0.000 0.000 0.500
O 0.250 0.250 0.250

Calculated values
ΔE to the lowest computed polymorph   1147 meV per atom
Size of the total moment   1.81 μB per formula unit
Calculated total energy   -14.34 eV per formula unit
Raw formation energy   1.0 eV/f.u.

=====

# 5
Entry from Alexandria via LeMat-Bulk: a relaxed ZnAs2Se crystal (PBEsol).

abc: 6.600 6.600 6.600
angles: 90.00 90.00 90.00
Space group Fm-3m (No. 225)
Unique sites:
Zn 0.000 0.000 0.000
As 0.250 0.250 0.250
Se 0.000 0.000 0.500

Calculated values
ΔE to the lowest computed polymorph   276 meV per atom
Size of the total moment   0.00 μB per formula unit
Calculated total energy   -14.12 eV per formula unit
Raw formation energy   1.5 eV/f.u.

=====

# 6
Entry from Alexandria via LeMat-Bulk: a relaxed CaAgAs2 crystal (PBEsol).

abc: 10.306 3.613 4.680
angles: 90.00 112.03 90.00
Space group Cm (No. 8)
Unique sites:
Ca 0.000 0.000 0.000
Ag 0.280 0.500 0.347
As 0.048 0.500 0.537
As 0.249 0.000 0.864

Calculated values
Size of the total moment   0.00 μB per formula unit
Calculated total energy   -17.13 eV per formula unit
Energy of formation   -0.368 eV/atom

=====

# 7
Entry from Alexandria via LeMat-Bulk: a relaxed TaN crystal (PBEsol).

abc: 2.9262 2.9262 2.8729
angles: 90.00 90.00 120.00
Space group P-6m2 (No. 187)
Unique sites:
Ta 0.0000 0.0000 0.0000
N 0.3333 0.6667 0.5000

Calculated values
Size of the total moment   0.00 μB per formula unit
Calculated total energy   -23.80 eV per formula unit
Raw formation energy   -2.7 eV/f.u.

=====

# 8
Entry from Alexandria via LeMat-Bulk: a relaxed LiIn2Ag crystal (PBEsol).

abc: 3.096 3.096 8.206
angles: 90.00 90.00 90.00
Space group P4/mmm (No. 123)
Unique sites:
Li 0.000 0.000 0.000
In 0.500 0.500 0.253
Ag 0.000 0.000 0.500

Calculated values
Size of the total moment   0.00 μB per formula unit
Calculated total energy   -11.92 eV per formula unit
Energy of formation   -0.170 eV/atom

=====

Q: Which value of calculated total energy does entry 1 give?
A: -8.81 eV per formula unit